A geometry-optimized MgFeF4 structure, computed with PBE+U.

Output
Excess energy over the best structure of this formula in the dataset ... 41 kJ/mol of formula units
Uncorrected energy ... -5.336 eV/atom

a b c (Å): 5.065 5.065 10.249
angles (deg): 90.00 90.00 90.00
Space group I4/mcm (No. 140)
Unique sites:
Mg1 0.000 0.000 0.250 x4
Fe1 0.000 0.500 0.000 x4
F1 0.227 0.273 0.130 x16

A geometry-optimized MgFeF5 structure, computed with PBE+U.

Output
Excess energy over the best structure of this formula in the dataset ... 64 kJ/mol of formula units
Uncorrected energy ... -5.163 eV/atom

a b c (Å): 3.605 6.549 7.828
angles (deg): 90.00 90.00 90.00
Space group Immm (No. 71)
Unique sites:
Mg1 0.000 0.000 0.000 x2
Fe1 0.000 0.000 0.500 x2
F1 0.000 0.000 0.265 x4
F2 0.000 0.316 0.000 x4
F3 0.000 0.500 0.500 x2

A geometry-optimized Mg3FeF structure, computed with PBE+U.

Output
Excess energy over the best structure of this formula in the dataset ... 0 kJ/mol of formula units
Uncorrected energy ... -2.861 eV/atom

a b c (Å): 4.408 4.408 4.408
angles (deg): 90.00 90.00 90.00
Space group Pm-3m (No. 221)
Unique sites:
Mg1 0.000 0.000 0.500 x3
Fe1 0.500 0.500 0.500 x1
F1 0.000 0.000 0.000 x1

A geometry-optimized MgFe2F structure, computed with PBE+U.

Output
Excess energy over the best structure of this formula in the dataset ... 160 kJ/mol of formula units
Uncorrected energy ... -3.391 eV/atom

a b c (Å): 6.354 6.354 6.354
angles (deg): 90.00 90.00 90.00
Space group Fm-3m (No. 225)
Unique sites:
Mg1 0.000 0.000 0.000 x4
Fe1 0.250 0.250 0.250 x8
F1 0.000 0.000 0.500 x4

A geometry-optimized MgFe2F structure, computed with PBE+U.

Output
Excess energy over the best structure of this formula in the dataset ... 0 kJ/mol of formula units
Uncorrected energy ... -3.806 eV/atom

a b c (Å): 7.612 7.612 4.482
angles (deg): 90.00 90.00 90.00
Space group I-42d (No. 122)
Unique sites:
Mg1 0.000 0.000 0.000 x4
Fe1 0.179 0.250 0.625 x8
F1 0.000 0.000 0.500 x4

A geometry-optimized MgFeF4 structure, computed with PBE+U.

Output
Excess energy over the best structure of this formula in the dataset ... 10 kJ/mol of formula units
Uncorrected energy ... -5.389 eV/atom

a b c (Å): 5.088 5.564 5.809
angles (deg): 110.00 109.40 90.28
Space group P1 (No. 1)
Unique sites:
Mg1 0.000 0.000 0.000 x1
Mg2 0.500 0.352 0.976 x1
Fe1 0.250 0.677 0.489 x1
Fe2 0.751 0.179 0.489 x1
F1 0.057 0.704 0.737 x1
F2 0.090 0.220 0.798 x1
F3 0.410 0.132 0.179 x1
F4 0.442 0.648 0.239 x1
F5 0.539 0.461 0.698 x1
F6 0.599 0.009 0.753 x1
F7 0.901 0.344 0.224 x1
F8 0.961 0.893 0.279 x1